Np2CdOs PBE relaxed; total energy = -9.34 eV/atom; V = 88 Å³/cell; space-group type = P4/mmm, No. 123; density of states at the Fermi level = 2.55 states/eV/atom
1.0
3.162 0.000 0.000
0.000 3.162 0.000
0.000 0.000 8.812
Os Np Cd
1 2 1
Direct
0.500 0.500 0.000
0.000 0.000 0.791
0.000 0.000 0.209
0.500 0.500 0.500